Entry 1:
Al2ZnB | GGA-PBE | relaxed

```
data_Al2ZnB
_chemical_formula_sum 'Al8 Zn4 B4'
_cell_length_a 6.114
_cell_length_b 6.114
_cell_length_c 6.114
_cell_angle_alpha 90.00
_cell_angle_beta 90.00
_cell_angle_gamma 90.00
_space_group_name_H-M_alt 'F -4 3 m'
_space_group_IT_number 216
_space_group_name_Hall 'F -4 2 3'
loop_
_atom_site_label
_atom_site_fract_x
_atom_site_fract_y
_atom_site_fract_z
_atom_site_occupancy
Al1 0.000 0.000 0.000 1
Al2 0.250 0.250 0.250 1
Zn1 0.250 0.250 0.750 1
B1 0.000 0.000 0.500 1
```

Results
The electronic total energy comes out at -3.10 eV per atom.

=====

Entry 2:
KRbAsAu | GGA-PBE | relaxed

```
data_KRbAsAu
_chemical_formula_sum 'K2 Rb2 As2 Au2'
_cell_length_a 6.407
_cell_length_b 6.519
_cell_length_c 6.501
_cell_angle_alpha 90.00
_cell_angle_beta 106.41
_cell_angle_gamma 90.00
_space_group_name_H-M_alt 'P 1 21/m 1'
_space_group_IT_number 11
loop_
_space_group_symop_operation_xyz
'x,y,z'
'-x,-y,-z'
'-x,y+1/2,-z'
'x,-y+1/2,z'
loop_
_atom_site_label
_atom_site_fract_x
_atom_site_fract_y
_atom_site_fract_z
_atom_site_occupancy
K1 0.173 0.250 0.019 1
Rb1 0.477 0.750 0.323 1
As1 0.246 0.750 0.757 1
Au1 0.000 0.000 0.500 1
```

Results
Its energy above the lowest structure with this stoichiometry is 0.0 meV/atom.